[1]
VASP calculation (PBEsol) on a relaxed structure of TaFeAg2H.

Cell lengths 3.8243, 3.8243, 4.3721 Å; angles 90.00, 90.00, 90.00 degrees
Closest atoms and distances in Å follow each position.
Sites, in units of the cell vectors:
H  0.0000  0.0000  0.0000  4 Ag 1.91
Ag  0.5000  0.0000  0.0000  2 H 1.91
Ag  0.0000  0.5000  0.0000  2 H 1.91
Ta  0.5000  0.5000  0.5000  4 Fe 2.70, 8 Ag 2.90
Fe  0.0000  0.0000  0.5000  2 H 2.19

Properties
Size of the total moment, μB/f.u.: 1.201
Calculated total energy, eV/f.u.: -28.66



[2]
VASP calculation (PBEsol) on a relaxed structure of Tl2As.

Cell lengths 3.2863, 6.7175, 7.6131 Å; angles 104.23, 102.46, 90.00 degrees
Closest atoms and distances in Å follow each position.
Sites, in units of the cell vectors:
Tl  0.3671  0.4265  0.7343  4 As 3.23-3.27, 4 Tl 3.29-3.46
Tl  0.6329  0.5735  0.2657  4 As 3.23-3.27, 4 Tl 3.29-3.46
Tl  0.3346  0.8978  0.6692  4 As 3.17-3.18, 4 Tl 3.29-3.46
Tl  0.6654  0.1022  0.3308  4 As 3.17-3.18, 4 Tl 3.29-3.46
As  0.9976  0.1935  0.9951  1 As 2.62
As  0.0024  0.8065  0.0049  1 As 2.62

Properties
Formation energy, eV per atom: 0.085
Size of the total moment, μB/f.u.: 0.000
ΔE to the lowest computed polymorph, eV/atom: 0.036



[3]
VASP calculation (PBEsol) on a relaxed structure of Ca3FeH.

Cell lengths 4.7893, 4.7893, 4.7893 Å; angles 90.00, 90.00, 90.00 degrees
Closest atoms and distances in Å follow each position.
Sites, in units of the cell vectors:
Ca  0.0000  0.0000  0.5000  2 H 2.39
Ca  0.0000  0.5000  0.0000  2 H 2.39
Ca  0.5000  0.0000  0.0000  2 H 2.39
H  0.0000  0.0000  0.0000  6 Ca 2.39
Fe  0.5000  0.5000  0.5000  12 Ca 3.39

Properties
Size of the total moment, μB/f.u.: 2.158
Calculated total energy, eV/f.u.: -17.50